(1)
Compound: HRuO2F
Source: Alexandria
Functional: GGA-PBEsol
Structure: relaxed

VASP energy: -28.008 eV for the cell shown
Space-group type: P4/mmm, No. 123

```
5
Lattice="-3.162 1.842 0.433 -0.485 0.026 -3.652 -2.004 -3.497 0.241" Properties=species:S:1:pos:R:3 pbc="T T T"
O -0.242 0.013 -1.826
O -1.581 0.921 0.216
Ru 0.000 0.000 0.000
F -1.002 -1.748 0.121
H -2.825 -0.815 -1.489
```

---

(2)
Compound: SbH3OF6
Source: Alexandria
Functional: GGA-PBEsol
Structure: relaxed

VASP energy: -208.898 eV for the cell shown
Space-group type: I2_13, No. 199

```
44
Lattice="-3.798 -5.059 5.986 -0.413 -3.896 -7.778 8.337 1.294 2.160" Properties=species:S:1:pos:R:3 pbc="T T T"
H 6.371 -2.478 2.101
H 1.290 -1.927 3.567
H 7.346 0.869 1.926
H 7.710 -2.163 -4.629
H 0.527 -0.917 0.314
H 4.190 -1.009 -1.769
H 5.130 -3.190 1.208
H 2.884 -1.471 3.254
H 4.665 -2.144 -2.923
H 2.561 -2.945 4.009
H 6.457 -2.513 0.417
H 0.724 -5.577 2.638
F -0.576 -5.593 -4.702
F 0.246 -7.034 -2.082
F 3.032 -3.238 -1.330
F 2.891 -4.435 4.286
F 4.732 -2.022 4.921
F 1.569 -2.022 0.630
F 1.168 -4.340 1.812
F 3.950 -0.753 2.385
F -1.456 -2.979 1.173
F 5.612 -4.542 -0.874
F 1.120 -3.294 -4.002
F 0.352 -1.422 -2.159
F -2.898 -5.723 1.255
F -1.142 -4.146 3.622
F 0.071 -6.998 0.649
F 4.176 -0.757 -0.238
F 5.395 -3.452 -3.328
F 2.549 -5.637 -0.103
F 6.882 -1.890 -0.939
F 0.460 -4.014 -0.805
F 3.620 -3.540 1.281
F 3.625 -6.282 2.558
F -1.924 -8.143 -0.835
F 6.062 0.329 1.244
Sb -1.905 -2.538 3.003
Sb -0.193 -1.946 -3.886
Sb 2.063 -3.837 0.171
Sb -0.049 -8.295 -0.713
O 6.113 -2.963 1.253
O 2.258 -1.994 3.849
O -0.109 -0.146 0.172
O 4.202 -1.264 -2.747
```

---

(3)
Compound: SiH14O4F6
Source: Alexandria
Functional: GGA-PBEsol
Structure: relaxed

VASP energy: -240.874 eV for the cell shown
Space-group type: P2_1/c, No. 14

```
50
Lattice="-4.494 3.957 0.121 -1.647 -4.951 -3.450 -4.848 -5.833 10.685" Properties=species:S:1:pos:R:3 pbc="T T T"
H -5.389 2.242 2.213
H -5.600 -9.069 5.143
H -4.425 -6.170 6.092
H -6.254 0.942 2.614
H -3.355 -1.071 3.280
H -4.236 0.275 -1.198
H -3.832 -1.570 2.962
H -3.726 -2.927 -0.812
H -6.568 -3.734 0.440
H -3.352 -2.552 -0.267
H -4.421 -3.093 6.916
H -4.735 -7.769 4.741
H -7.184 -8.024 7.259
H -6.346 -3.346 2.159
H -4.467 -5.962 7.690
H -6.564 -0.657 1.264
H -6.522 -0.865 -0.334
H -4.643 -3.481 5.197
H -7.156 -5.257 4.394
H -6.753 -7.102 8.554
H -3.805 1.197 0.097
H -6.114 -6.614 7.107
H -7.262 -3.900 8.167
H -3.852 -2.127 5.699
H -4.875 -0.213 0.248
H -7.633 -5.756 4.075
H -7.637 -4.275 7.623
H -7.137 -4.700 1.656
O -5.985 -0.921 0.500
O -5.004 -5.906 6.856
O -3.984 0.254 -0.226
O -4.629 -2.736 5.883
O -5.342 1.337 2.623
O -7.005 -7.080 7.581
O -6.360 -4.091 1.472
O -5.646 -8.164 4.733
F -6.328 -2.228 3.229
F -2.969 -4.154 2.440
F -2.562 -5.150 -1.995
F -9.939 -5.749 8.146
F -4.132 -6.270 2.462
F -8.427 -1.677 9.351
F -1.050 -1.078 -0.790
F -4.660 -4.599 4.127
F -8.020 -2.673 4.915
F -5.161 -2.308 -2.884
F -5.828 -4.519 10.240
F -6.857 -0.557 4.894
Si -3.247 -5.392 3.617
Si 0.000 0.000 0.000
```